MgTa2Sb: relaxed, PBE. Values from VASP.

The structure in Quantum ESPRESSO input format:
```
&SYSTEM
  ibrav = 0, nat = 4, ntyp = 3
/
ATOMIC_SPECIES
Mg 24.30 Mg.upf
Ta 180.95 Ta.upf
Sb 121.76 Sb.upf
ATOMIC_POSITIONS crystal
Mg 0.000 0.000 0.000
Ta 0.000 0.000 0.527
Ta 0.500 0.500 0.741
Sb 0.500 0.500 0.259
CELL_PARAMETERS angstrom
3.586 0.000 0.000
0.000 3.586 0.000
0.000 0.000 6.112
```

Summary:
* calculated total energy: -7.300 eV per atom
* formation energy without anion corrections: 56 meV per atom
* spin magnetization: 0.000 μB per formula unit